Entry 1:
A plane-wave DFT calculation with PBE-GGA was carried out for a geometry-optimized Sc4CuAsN2 structure.

energy	-7.46	eV per atom

Cell: 3.245 3.245 13.216 Å, 90.00 90.00 120.00°
Fractional positions:
As 0.333 0.667 0.000
Sc 0.667 0.333 0.842
Sc 0.333 0.667 0.655
N 0.000 0.000 0.245
Cu 0.667 0.333 0.500
N 0.000 0.000 0.755
Sc 0.667 0.333 0.158
Sc 0.333 0.667 0.345

Entry 2:
A plane-wave DFT calculation with PBE-GGA was carried out for a geometry-optimized HoZnPt structure.

ΔE_f	-0.8187	eV/atom

Cell: 4.564 4.564 4.564 Å, 60.00 60.00 60.00°
Fractional positions:
Zn 0.750 0.750 0.750
Ho 0.250 0.250 0.250
Pt 0.000 0.000 0.000

Entry 3:
A plane-wave DFT calculation with PBE-GGA was carried out for a geometry-optimized InCuNiTeSe2 structure.

energy	-3.81	eV per atom

Cell: 7.331 7.331 9.852 Å, 90.00 90.00 151.08°
Fractional positions:
Te 0.908 0.092 0.250
Se 0.382 0.618 0.962
Se 0.382 0.618 0.538
In 0.786 0.214 0.750
Se 0.618 0.382 0.462
Cu 0.465 0.535 0.750
Cu 0.535 0.465 0.250
Se 0.618 0.382 0.038
In 0.214 0.786 0.250
Ni 0.000 0.000 0.500
Ni 0.000 0.000 0.000
Te 0.092 0.908 0.750

Entry 4:
A plane-wave DFT calculation with PBE-GGA was carried out for a geometry-optimized LuZnCoSb structure.

energy relative to the lowest polymorph listed for this composition	82.1	meV/atom

Cell: 4.714 4.714 4.714 Å, 60.00 60.00 60.00°
Fractional positions:
Co 0.750 0.750 0.750
Lu 0.250 0.250 0.250
Zn 0.500 0.500 0.500
Sb 0.000 0.000 0.000

What is the formula in the fourth record? LuZnCoSb